Record 1
A plane-wave DFT calculation with PBE was carried out for Li3HfTl after structural relaxation.

abc: 4.7524 4.7524 4.7524
angles: 90.00 90.00 90.00
Closest atoms and distances in Å follow each position.
Element x y z (fractional)
Li1 0.0000 0.0000 0.5000  2 Tl 2.38
Li2 0.0000 0.5000 0.0000  2 Tl 2.38
Li3 0.5000 0.0000 0.0000  2 Tl 2.38
Hf1 0.5000 0.5000 0.5000  12 Li 3.36
Tl1 0.0000 0.0000 0.0000  6 Li 2.38

The total magnetization comes out at 0.000 μB/f.u. The total energy is -2.967 eV per atom.

***

Record 2
A plane-wave DFT calculation with PBE was carried out for KIn12Sn4 after structural relaxation.

abc: 8.8872 8.8872 8.8872
angles: 109.47 109.47 109.47
Closest atoms and distances in Å follow each position.
Element x y z (fractional)
K1 0.0000 0.0000 0.0000  12 In 3.93
In1 0.1457 0.3544 0.5001  2 Sn 2.98, 2 In 2.99
In2 0.1457 0.6456 0.7913  2 Sn 2.98, 2 In 2.99
In3 0.2087 0.8543 0.3544  2 Sn 2.98, 2 In 2.99
In4 0.3544 0.2087 0.8543  2 Sn 2.98, 2 In 2.99
In5 0.3544 0.5001 0.1457  2 Sn 2.98, 2 In 2.99
In6 0.5001 0.1457 0.3544  2 Sn 2.98, 2 In 2.99
In7 0.4999 0.8543 0.6456  2 Sn 2.98, 2 In 2.99
In8 0.6456 0.4999 0.8543  2 Sn 2.98, 2 In 2.99
In9 0.6456 0.7913 0.1457  2 Sn 2.98, 2 In 2.99
In10 0.7913 0.1457 0.6456  2 Sn 2.98, 2 In 2.99
In11 0.8543 0.3544 0.2087  2 Sn 2.98, 2 In 2.99
In12 0.8543 0.6456 0.4999  2 Sn 2.98, 2 In 2.99
Sn1 0.0000 0.0000 0.5000  6 In 2.98
Sn2 0.0000 0.5000 0.0000  6 In 2.98
Sn3 0.5000 0.0000 0.0000  6 In 2.98
Sn4 0.5000 0.5000 0.5000  6 In 2.98

The total magnetization comes out at 0.000 μB/f.u. The total energy is -2.873 eV per atom.

***

Record 3
A plane-wave DFT calculation with PBE was carried out for SrTb2NbN4 after structural relaxation.

abc: 6.3678 6.3678 12.2376
angles: 90.00 90.00 148.27
Closest atoms and distances in Å follow each position.
Element x y z (fractional)
Sr1 0.0979 0.9021 0.7500  6 N 2.75-2.95
Sr2 0.9021 0.0979 0.2500  6 N 2.75-2.95
Tb1 0.3713 0.6287 0.5345  5 N 2.34-2.58
Tb2 0.3713 0.6287 0.9655  5 N 2.34-2.58
Tb3 0.6287 0.3713 0.0345  5 N 2.34-2.58
Tb4 0.6287 0.3713 0.4655  5 N 2.34-2.58
Nb1 0.1672 0.8328 0.2500  4 N 1.95-2.07
Nb2 0.8328 0.1672 0.7500  4 N 1.95-2.07
N1 0.0000 0.0000 0.0000  4 Tb 2.39
N2 0.0000 0.0000 0.5000  4 Tb 2.39
N3 0.2583 0.7417 0.1195  1 Nb 1.95
N4 0.2583 0.7417 0.3805  1 Nb 1.95
N5 0.4240 0.5760 0.7500  2 Nb 2.07
N6 0.5760 0.4240 0.2500  2 Nb 2.07
N7 0.7417 0.2583 0.6195  1 Nb 1.95
N8 0.7417 0.2583 0.8805  1 Nb 1.95

The total magnetization comes out at 0.000 μB/f.u. The total energy is -8.002 eV per atom. The uncorrected formation energy is -9.7 eV per formula unit.

***

Record 4
A plane-wave DFT calculation with PBE was carried out for SrScAu after structural relaxation.

abc: 4.7484 4.7484 4.5811
angles: 90.00 90.00 120.00
Closest atoms and distances in Å follow each position.
Element x y z (fractional)
Sr1 0.0000 0.0000 0.0000  6 Sc 3.57, 6 Au 3.57
Sc1 0.3333 0.6667 0.5000  3 Au 2.74
Au1 0.6667 0.3333 0.5000  3 Sc 2.74

The total magnetization comes out at 0.000 μB/f.u. The total energy is -4.115 eV per atom.

***

Record 5
A plane-wave DFT calculation with PBE was carried out for Sm2InSn9 after structural relaxation.

abc: 4.6523 4.6523 15.0544
angles: 90.00 90.00 90.00
Closest atoms and distances in Å follow each position.
Element x y z (fractional)
Sm1 0.0000 0.0000 0.1550  12 Sn 3.29-3.53
Sm2 0.0000 0.0000 0.8450  12 Sn 3.29-3.53
In1 0.0000 0.0000 0.5000  12 Sn 3.29-3.45
Sn1 0.0000 0.5000 0.0000  8 Sn 3.29-3.45, 4 Sm 3.29
Sn2 0.0000 0.5000 0.3310  8 Sn 3.29-3.45, 2 In 3.45, 2 Sm 3.53
Sn3 0.0000 0.5000 0.6690  8 Sn 3.29-3.45, 2 In 3.45, 2 Sm 3.53
Sn4 0.5000 0.0000 0.0000  8 Sn 3.29-3.45, 4 Sm 3.29
Sn5 0.5000 0.0000 0.3310  8 Sn 3.29-3.45, 2 In 3.45, 2 Sm 3.53
Sn6 0.5000 0.0000 0.6690  8 Sn 3.29-3.45, 2 In 3.45, 2 Sm 3.53
Sn7 0.5000 0.5000 0.1691  4 Sm 3.30, 8 Sn 3.37-3.45
Sn8 0.5000 0.5000 0.5000  4 In 3.29, 8 Sn 3.45
Sn9 0.5000 0.5000 0.8309  4 Sm 3.30, 8 Sn 3.37-3.45

The total magnetization comes out at 0.000 μB/f.u. The total energy is -4.318 eV per atom.

***

Record 6
A plane-wave DFT calculation with PBE was carried out for Ni7Te6 after structural relaxation.

abc: 9.7310 9.7310 9.7310
angles: 32.47 32.47 32.47
Closest atoms and distances in Å follow each position.
Element x y z (fractional)
Ni1 0.0000 0.0000 0.0000  6 Ni 2.89, 6 Te 3.19
Ni2 0.0698 0.0698 0.5920  5 Te 2.55-2.73, 4 Ni 2.60-2.84
Ni3 0.0698 0.5920 0.0698  5 Te 2.55-2.73, 4 Ni 2.60-2.84
Ni4 0.4080 0.9302 0.9302  5 Te 2.55-2.73, 4 Ni 2.60-2.84
Ni5 0.5920 0.0698 0.0698  5 Te 2.55-2.73, 4 Ni 2.60-2.84
Ni6 0.9302 0.4080 0.9302  5 Te 2.55-2.73, 4 Ni 2.60-2.84
Ni7 0.9302 0.9302 0.4080  5 Te 2.55-2.73, 4 Ni 2.60-2.84
Te1 0.1685 0.1685 0.1685  6 Ni 2.65
Te2 0.3143 0.3143 0.3143  3 Ni 2.55
Te3 0.4287 0.4287 0.4287  6 Ni 2.73
Te4 0.5713 0.5713 0.5713  6 Ni 2.73
Te5 0.6857 0.6857 0.6857  3 Ni 2.55
Te6 0.8315 0.8315 0.8315  6 Ni 2.65

The total magnetization comes out at 0.069 μB/f.u. The total energy is -4.445 eV per atom. The uncorrected formation energy is 1.5 eV per formula unit.

***

Record 7
A plane-wave DFT calculation with PBE was carried out for Ti6Mn5Tc after structural relaxation.

abc: 7.3921 7.3921 7.3921
angles: 146.53 131.80 59.96
Closest atoms and distances in Å follow each position.
Element x y z (fractional)
Ti1 0.0805 0.3321 0.7484  7 Mn 2.56-2.62, 1 Tc 2.63
Ti2 0.2470 0.0000 0.2470  6 Mn 2.60-2.66, 2 Tc 2.62
Ti3 0.4164 0.6679 0.7484  7 Mn 2.56-2.62, 1 Tc 2.63
Ti4 0.5836 0.3321 0.2516  7 Mn 2.56-2.62, 1 Tc 2.63
Ti5 0.7530 0.0000 0.7530  6 Mn 2.60-2.66, 2 Tc 2.62
Ti6 0.9195 0.6679 0.2516  7 Mn 2.56-2.62, 1 Tc 2.63
Mn1 0.0000 0.5000 0.5000  8 Ti 2.60-2.62
Mn2 0.1668 0.1668 0.0000  8 Ti 2.60-2.61
Mn3 0.3298 0.8298 0.5000  8 Ti 2.56-2.66
Mn4 0.6702 0.1702 0.5000  8 Ti 2.56-2.66
Mn5 0.8332 0.8332 0.0000  8 Ti 2.60-2.61
Tc1 0.5000 0.5000 0.0000  8 Ti 2.62-2.63

The total magnetization comes out at 4.078 μB/f.u. The total energy is -8.908 eV per atom.

***

Record 8
A plane-wave DFT calculation with PBE was carried out for Sm2BeAl after structural relaxation.

abc: 5.0934 5.0934 5.0934
angles: 60.00 60.00 60.00
Closest atoms and distances in Å follow each position.
Element x y z (fractional)
Sm1 0.2500 0.2500 0.2500  4 Al 3.12, 4 Be 3.12
Sm2 0.7500 0.7500 0.7500  4 Al 3.12, 4 Be 3.12
Be1 0.0000 0.0000 0.0000  8 Sm 3.12
Al1 0.5000 0.5000 0.5000  8 Sm 3.12

The total magnetization comes out at 0.000 μB/f.u. The total energy is -4.301 eV per atom.